1.
Ce3PrP4, optimized geometry, DFT GGA-PBE; formation enthalpy at 0 K = -12.02 eV/f.u.; V = 24.72 A^3/atom; space-group type = No. 65; electronic total energy = -7.03 eV/atom
1.0
4.1202 -5.8261 0.0000
4.1202 5.8261 0.0000
0.0000 0.0000 4.1193
Ce Pr P
3 1 4
Direct
0.0000 0.0000 0.0000
0.0000 0.5000 0.5000
0.5000 0.0000 0.5000
0.5000 0.5000 0.0000
0.2431 0.2431 0.5000
0.2468 0.7532 0.0000
0.7532 0.2468 0.0000
0.7569 0.7569 0.5000



2.
Sc2TeS2, optimized geometry, DFT GGA-PBE; V = 25.27 A^3/atom; offset from the most stable computed form = 0 meV per atom; space-group type = No. 71; formation energy (no corrections) = -1.67 eV per atom; electronic total energy = -6.48 eV/atom
1.0
-1.9561 2.5561 6.3182
1.9561 -2.5561 6.3182
1.9561 2.5561 -6.3182
Sc Te S
2 1 2
Direct
0.1713 0.1713 0.0000
0.8287 0.8287 0.0000
0.0000 0.5000 0.5000
0.3040 0.8040 0.5000
0.6960 0.1960 0.5000



3.
V2Ru2Rh3, optimized geometry, DFT GGA-PBE; formation enthalpy at 0 K = -1.20 eV/f.u.; V = 13.91 A^3/atom; offset from the most stable computed form = 3 meV per atom; space-group type = No. 12; electronic total energy = -8.58 eV/atom
1.0
4.3201 -1.8818 0.0000
4.3201 1.8818 0.0000
-0.7631 0.0000 5.9865
V Ru Rh
2 2 3
Direct
0.1379 0.1379 0.4179
0.8621 0.8621 0.5821
0.4293 0.4293 0.2920
0.5707 0.5707 0.7080
0.0000 0.0000 0.0000
0.2853 0.2853 0.8394
0.7147 0.7147 0.1606



4.
Tb3TlRu, optimized geometry, DFT GGA-PBE; formation enthalpy at 0 K = -1.74 eV/f.u.; V = 26.29 A^3/atom; offset from the most stable computed form = 0 meV per atom; space-group type = No. 69; electronic total energy = -5.45 eV/atom
1.0
0.0000 4.8822 8.1578
3.2998 0.0000 8.1578
3.2998 4.8822 0.0000
Tb Tl Ru
6 2 2
Direct
0.1968 0.5756 0.4244
0.1995 0.1995 0.8005
0.4244 0.8032 0.1968
0.5756 0.1968 0.8032
0.8005 0.8005 0.1995
0.8032 0.4244 0.5756
0.2162 0.7838 0.7838
0.7838 0.2162 0.2162
0.2500 0.2500 0.2500
0.7500 0.7500 0.7500



5.
Zr2NbPdO, optimized geometry, DFT GGA-PBE; V = 16.83 A^3/atom; space-group type = No. 123; formation energy (no corrections) = -1.06 eV per atom; electronic total energy = -8.52 eV/atom
1.0
4.5111 0.0000 0.0000
0.0000 4.5111 0.0000
0.0000 0.0000 4.1358
Zr Nb Pd O
2 1 1 1
Direct
0.0000 0.5000 0.0000
0.5000 0.0000 0.0000
0.0000 0.0000 0.5000
0.5000 0.5000 0.5000
0.0000 0.0000 0.0000



6.
Pu5Ga4Sn, optimized geometry, DFT GGA-PBE; formation enthalpy at 0 K = 0.86 eV/f.u.; V = 21.89 A^3/atom; space-group type = No. 123; electronic total energy = -8.69 eV/atom
1.0
3.8813 0.0000 0.0000
0.0000 3.8813 0.0000
0.0000 0.0000 14.5284
Pu Ga Sn
5 4 1
Direct
0.0000 0.0000 0.0000
0.0000 0.0000 0.2229
0.0000 0.0000 0.3855
0.0000 0.0000 0.6145
0.0000 0.0000 0.7771
0.5000 0.5000 0.1114
0.5000 0.5000 0.3016
0.5000 0.5000 0.6984
0.5000 0.5000 0.8886
0.5000 0.5000 0.5000



7.
SmSc5Cd3, optimized geometry, DFT GGA-PBE; formation enthalpy at 0 K = -1.42 eV/f.u.; V = 24.07 A^3/atom; space-group type = No. 193; electronic total energy = -4.50 eV/atom
1.0
8.7715 0.0000 0.0000
-4.3857 7.5963 0.0000
0.0000 0.0000 6.5012
Sm Sc Cd
2 10 6
Direct
0.0000 0.0000 0.0000
0.0000 0.0000 0.5000
0.0000 0.3393 0.2500
0.0000 0.6607 0.7500
0.3333 0.6667 0.0000
0.3333 0.6667 0.5000
0.3393 0.0000 0.2500
0.3393 0.3393 0.7500
0.6607 0.0000 0.7500
0.6607 0.6607 0.2500
0.6667 0.3333 0.0000
0.6667 0.3333 0.5000
0.0000 0.3373 0.7500
0.0000 0.6627 0.2500
0.3373 0.0000 0.7500
0.3373 0.3373 0.2500
0.6627 0.0000 0.2500
0.6627 0.6627 0.7500